(1)
! PBE-GGA Mn2ZnMo, optimized geometry; values from VASP
&SYSTEM
  ibrav = 0, nat = 4, ntyp = 3
/
ATOMIC_SPECIES
Mn 54.94 Mn.upf
Zn 65.41 Zn.upf
Mo 95.94 Mo.upf
CELL_PARAMETERS angstrom
2.5832 0.0000 0.0000
0.0000 4.1904 0.0000
-0.6469 0.0000 4.9111
ATOMIC_POSITIONS crystal
Mn 0.2318 0.0000 0.2502
Mn 0.7682 0.0000 0.7498
Zn 0.5000 0.5000 0.0000
Mo 0.0000 0.5000 0.5000
! **Calculated formation energy**: 0.20 eV/atom
! **Fermi-level density of states**: 1.0644 states/eV/atom
! **Symmetry**: P2/m, No. 10
! **Volume**: 53.2 Å³/cell

***

(2)
! PBE-GGA K2NpGaI6, optimized geometry; values from VASP
&SYSTEM
  ibrav = 0, nat = 20, ntyp = 4
/
ATOMIC_SPECIES
K 39.10 K.upf
Np 237.00 Np.upf
Ga 69.72 Ga.upf
I 126.90 I.upf
CELL_PARAMETERS angstrom
8.2472 0.0000 0.0000
0.0000 8.9380 0.0000
-8.0836 0.0000 12.0760
ATOMIC_POSITIONS crystal
K 0.2104 0.0919 0.2477
K 0.2104 0.4081 0.7477
K 0.7896 0.5919 0.2523
K 0.7896 0.9081 0.7523
Np 0.5000 0.0000 0.0000
Np 0.5000 0.5000 0.5000
Ga 0.0000 0.0000 0.5000
Ga 0.0000 0.5000 0.0000
I 0.1315 0.1855 0.9379
I 0.1315 0.3145 0.4379
I 0.2663 0.7005 0.9400
I 0.2663 0.7995 0.4400
I 0.3825 0.0387 0.7568
I 0.3825 0.4613 0.2568
I 0.6175 0.5387 0.7432
I 0.6175 0.9613 0.2432
I 0.7337 0.2005 0.5600
I 0.7337 0.2995 0.0600
I 0.8685 0.6855 0.5621
I 0.8685 0.8145 0.0621
! **Fermi-level density of states**: 0.4283 states/eV/atom
! **Symmetry**: P2_1/c, No. 14
! **Volume**: 890.2 Å³/cell
! **ΔE_f (raw)**: -1012 meV/atom

***

(3)
! PBE-GGA Th2ZnSi, optimized geometry; values from VASP
&SYSTEM
  ibrav = 0, nat = 4, ntyp = 3
/
ATOMIC_SPECIES
Th 232.04 Th.upf
Zn 65.41 Zn.upf
Si 28.09 Si.upf
CELL_PARAMETERS angstrom
3.7895 0.0000 0.0000
0.0000 3.7895 0.0000
0.0000 0.0000 6.7908
ATOMIC_POSITIONS crystal
Th 0.0000 0.0000 0.2374
Th 0.0000 0.0000 0.7626
Zn 0.5000 0.5000 0.5000
Si 0.5000 0.5000 0.0000
! **Energy above the most stable polymorph in this dataset**: 0.133 eV/atom
! **Fermi-level density of states**: 0.7404 states/eV/atom
! **Symmetry**: P4/mmm, No. 123
! **Volume**: 97.5 Å³/cell
! **ΔE_f (raw)**: -340 meV/atom

***

(4)
! PBE-GGA AcSmTePt, optimized geometry; values from VASP
&SYSTEM
  ibrav = 0, nat = 4, ntyp = 4
/
ATOMIC_SPECIES
Ac 227.00 Ac.upf
Sm 150.36 Sm.upf
Te 127.60 Te.upf
Pt 195.08 Pt.upf
CELL_PARAMETERS angstrom
2.1729 1.2545 7.7464
-2.1729 1.2545 7.7464
0.0000 -2.5091 7.7464
ATOMIC_POSITIONS crystal
Ac 0.0000 0.0000 0.0000
Sm 0.4750 0.4750 0.4750
Te 0.2303 0.2303 0.2303
Pt 0.7420 0.7420 0.7420
! **Fermi-level density of states**: 0.2869 states/eV/atom
! **Symmetry**: R3m, No. 160
! **Volume**: 126.7 Å³/cell
! **ΔE_f (raw)**: -1309 meV/atom